Record 1
{
  "formula": "KFeRh2",
  "functional": "PBE",
  "state": "relaxed",
  "cell": [[2.9201, 0.0046, 0.0000], [-0.0064, 2.9201, 0.0000], [0.0000, 0.0000, 8.3917]],
  "species": ["Rh", "Fe", "Rh", "K"],
  "frac_coords": [[0.0000, 0.0000, 0.4327], [0.5000, 0.5000, 0.2500], [0.0000, 0.0000, 0.0673], [0.5000, 0.5000, 0.7500]],
  "spacegroup": "P4/mmm (123)",
  "relative_energy_ev_per_atom": 0.0000
}

Record 2
{
  "formula": "KFeRh",
  "functional": "PBE",
  "state": "relaxed",
  "cell": [[2.9596, -0.0041, -0.0041], [-1.4645, 4.5806, 0.0550], [1.8106, 1.4268, 11.4349]],
  "species": ["Fe", "K", "Rh", "Rh", "Fe", "K"],
  "frac_coords": [[0.8432, 0.5970, 0.5028], [0.2641, 0.9848, 0.1278], [0.3816, 0.4716, 0.3355], [0.6176, 0.0019, 0.3862], [0.0984, 0.1579, 0.5482], [0.1885, 0.6043, 0.7705]],
  "spacegroup": "P1 (1)",
  "relative_energy_ev_per_atom": 0.1527
}

Record 3
{
  "formula": "KFeRh2",
  "functional": "PBE",
  "state": "relaxed",
  "cell": [[5.8946, -0.0506, 0.0044], [3.0708, 5.0317, -0.0044], [-3.7211, -3.8614, 2.4478]],
  "species": ["Fe", "Rh", "Rh", "K"],
  "frac_coords": [[0.5418, 0.5418, 0.0000], [0.9632, 0.9632, 0.0000], [0.7425, 0.2425, 0.5000], [0.2525, 0.7525, 0.5000]],
  "spacegroup": "Imm2 (44)",
  "relative_energy_ev_per_atom": 0.3520
}

Record 4
{
  "formula": "KFeRh2",
  "functional": "PBE",
  "state": "relaxed",
  "cell": [[9.6404, -0.0806, -0.0472], [9.2331, 2.7738, -0.0472], [9.2331, 1.3175, 2.4413]],
  "species": ["K", "Fe", "Rh", "Rh"],
  "frac_coords": [[0.7500, 0.7500, 0.7500], [0.2500, 0.2500, 0.2500], [0.9852, 0.9852, 0.9852], [0.5148, 0.5148, 0.5148]],
  "spacegroup": "R-3m (166)",
  "relative_energy_ev_per_atom": 0.0755
}

Record 5
{
  "formula": "KFeRh3",
  "functional": "PBE",
  "state": "relaxed",
  "cell": [[4.5780, 0.0000, 0.0000], [0.0000, 4.5780, 0.0000], [0.0000, 0.0000, 4.5780]],
  "species": ["K", "Rh", "Rh", "Fe", "Rh"],
  "frac_coords": [[0.5000, 0.5000, 0.5000], [0.0000, 0.5000, 0.0000], [0.5000, 0.0000, 0.0000], [0.0000, 0.0000, 0.0000], [0.0000, 0.0000, 0.5000]],
  "spacegroup": "Pm-3m (221)",
  "relative_energy_ev_per_atom": 0.0000
}

Record 6
{
  "formula": "K2FeRh",
  "functional": "PBE",
  "state": "relaxed",
  "cell": [[5.8428, -0.0017, -0.0068], [-2.4860, 5.6273, 0.0069], [0.8707, 0.6831, 2.6906]],
  "species": ["Fe", "K", "K", "Rh"],
  "frac_coords": [[0.5000, 0.5000, 0.0000], [0.0000, 0.0000, 0.0000], [0.5000, 0.0000, 0.5000], [0.0000, 0.5000, 0.5000]],
  "spacegroup": "C2/m (12)",
  "relative_energy_ev_per_atom": 0.5763
}

no.,formation enthalpy at 0 K (eV per atom)
1,0.3662
2,0.4615
3,0.7182
4,0.4417
5,0.9194
6,1.0311